Material: NaZr
Method: DFT, PBE
State: optimized geometry

Geometry as CIF:
```
data_NaZr
_chemical_formula_sum 'Na2 Zr2'
_cell_length_a 3.1683
_cell_length_b 3.1674
_cell_length_c 11.2219
_cell_angle_alpha 90.00
_cell_angle_beta 90.13
_cell_angle_gamma 90.00
_symmetry_space_group_name_H-M 'P 1'
_symmetry_Int_Tables_number 1
_symmetry_space_group_name_Hall 'P 1'
loop_
_atom_site_label
_atom_site_type_symbol
_atom_site_fract_x
_atom_site_fract_y
_atom_site_fract_z
Na1 Na 0.7529 0.2500 0.8547
Na2 Na 0.2471 0.7500 0.1453
Zr1 Zr 0.7492 0.2500 0.4066
Zr2 Zr 0.2508 0.7500 0.5934
```

Results
The calculation puts the theoretical density at 3.4 g/cm3. The energy relative to the elements is 0.183 eV per atom. The value obtained for the relative energy among the computed polymorphs is 0.00 eV/f.u. Its volume is 112.6 Å³ per cell.


Material: Zr2MnTcN
Method: DFT, PBE
State: optimized geometry

Geometry as CIF:
```
data_Zr2MnTcN
_chemical_formula_sum 'Zr2 Mn1 Tc1 N1'
_cell_length_a 4.6126
_cell_length_b 4.6126
_cell_length_c 3.5463
_cell_angle_alpha 90.00
_cell_angle_beta 90.00
_cell_angle_gamma 90.00
_symmetry_space_group_name_H-M 'P 1'
_symmetry_Int_Tables_number 1
_symmetry_space_group_name_Hall 'P 1'
loop_
_atom_site_label
_atom_site_type_symbol
_atom_site_fract_x
_atom_site_fract_y
_atom_site_fract_z
Mn1 Mn 0.0000 0.0000 0.5000
Tc1 Tc 0.5000 0.5000 0.5000
Zr1 Zr 0.0000 0.5000 0.0000
Zr2 Zr 0.5000 0.0000 0.0000
N1 N 0.0000 0.0000 0.0000
```

Results
The formation energy (no corrections) is -648 meV per atom. The calculation puts the theoretical density at 7.7 g/cm3. Its volume is 75.5 Å³ per cell.


Material: BeIrBr
Method: DFT, PBE
State: optimized geometry

Geometry as CIF:
```
data_BeIrBr
_chemical_formula_sum 'Be2 Ir2 Br2'
_cell_length_a 2.9745
_cell_length_b 3.9490
_cell_length_c 10.8075
_cell_angle_alpha 93.58
_cell_angle_beta 90.11
_cell_angle_gamma 67.88
_symmetry_space_group_name_H-M 'P 1'
_symmetry_Int_Tables_number 1
_symmetry_space_group_name_Hall 'P 1'
loop_
_atom_site_label
_atom_site_type_symbol
_atom_site_fract_x
_atom_site_fract_y
_atom_site_fract_z
Be1 Be 0.7994 0.1350 0.0523
Be2 Be 0.4992 0.7367 0.1254
Ir1 Ir 0.2073 0.3215 0.2140
Ir2 Ir 0.0932 0.5462 0.9726
Br1 Br 0.7650 0.2087 0.4041
Br2 Br 0.0305 0.6683 0.7545
```

Results
The formation energy (no corrections) is -144 meV per atom. The calculation puts the theoretical density at 8.0 g/cm3. The value obtained for the relative energy among the computed polymorphs is 0.47 eV/f.u. Its volume is 117.3 Å³ per cell.


Material: Pm6PrTm3
Method: DFT, PBE
State: optimized geometry

Geometry as CIF:
```
data_Pm6PrTm3
_chemical_formula_sum 'Pm6 Pr1 Tm3'
_cell_length_a 9.9021
_cell_length_b 9.9021
_cell_length_c 6.9833
_cell_angle_alpha 44.85
_cell_angle_beta 44.85
_cell_angle_gamma 60.00
_symmetry_space_group_name_H-M 'P 1'
_symmetry_Int_Tables_number 1
_symmetry_space_group_name_Hall 'P 1'
loop_
_atom_site_label
_atom_site_type_symbol
_atom_site_fract_x
_atom_site_fract_y
_atom_site_fract_z
Pm1 Pm 0.9005 0.5685 0.2993
Pm2 Pm 0.2316 0.9005 0.2993
Pm3 Pm 0.5685 0.2316 0.2993
Pm4 Pm 0.0710 0.4006 0.7992
Pm5 Pm 0.7292 0.0710 0.7992
Pm6 Pm 0.4006 0.7292 0.7992
Pr1 Pr 0.8999 0.8999 0.3003
Tm1 Tm 0.3996 0.3996 0.8012
Tm2 Tm 0.6451 0.6451 0.0646
Tm3 Tm 0.1539 0.1539 0.5382
```

Results
The calculation puts the theoretical density at 7.4 g/cm3. The energy relative to the elements is 0.234 eV per atom. The value obtained for the relative energy among the computed polymorphs is 0.87 eV/f.u. Its volume is 340.5 Å³ per cell.


Material: Li2HfZr
Method: DFT, PBE
State: optimized geometry

Geometry as CIF:
```
data_Li2HfZr
_chemical_formula_sum 'Li2 Hf1 Zr1'
_cell_length_a 4.7182
_cell_length_b 4.7182
_cell_length_c 4.7182
_cell_angle_alpha 60.00
_cell_angle_beta 60.00
_cell_angle_gamma 60.00
_symmetry_space_group_name_H-M 'P 1'
_symmetry_Int_Tables_number 1
_symmetry_space_group_name_Hall 'P 1'
loop_
_atom_site_label
_atom_site_type_symbol
_atom_site_fract_x
_atom_site_fract_y
_atom_site_fract_z
Hf1 Hf 0.5000 0.5000 0.5000
Zr1 Zr 0.0000 0.0000 0.0000
Li1 Li 0.2500 0.2500 0.2500
Li2 Li 0.7500 0.7500 0.7500
```

Results
The calculation puts the theoretical density at 6.3 g/cm3. The energy relative to the elements is 0.384 eV per atom. Its volume is 74.3 Å³ per cell.


Material: ReSi2BRh
Method: DFT, PBE
State: optimized geometry

Geometry as CIF:
```
data_ReSi2BRh
_chemical_formula_sum 'Re1 Si2 B1 Rh1'
_cell_length_a 4.5784
_cell_length_b 3.8103
_cell_length_c 4.5784
_cell_angle_alpha 90.00
_cell_angle_beta 90.00
_cell_angle_gamma 90.00
_symmetry_space_group_name_H-M 'P 1'
_symmetry_Int_Tables_number 1
_symmetry_space_group_name_Hall 'P 1'
loop_
_atom_site_label
_atom_site_type_symbol
_atom_site_fract_x
_atom_site_fract_y
_atom_site_fract_z
Re1 Re 0.5000 0.5000 0.5000
Si1 Si 0.0000 0.0000 0.5000
Si2 Si 0.5000 0.0000 0.0000
B1 B 0.0000 0.5000 0.0000
Rh1 Rh 0.0000 0.0000 0.0000
```

Results
The formation energy (no corrections) is 1281 meV per atom. The calculation puts the theoretical density at 7.4 g/cm3. Its volume is 79.9 Å³ per cell.


Material: Hf4Cu2S
Method: DFT, PBE
State: optimized geometry

Geometry as CIF:
```
data_Hf4Cu2S
_chemical_formula_sum 'Hf4 Cu2 S1'
_cell_length_a 3.5826
_cell_length_b 5.8289
_cell_length_c 6.7879
_cell_angle_alpha 75.89
_cell_angle_beta 74.70
_cell_angle_gamma 72.10
_symmetry_space_group_name_H-M 'P 1'
_symmetry_Int_Tables_number 1
_symmetry_space_group_name_Hall 'P 1'
loop_
_atom_site_label
_atom_site_type_symbol
_atom_site_fract_x
_atom_site_fract_y
_atom_site_fract_z
Hf1 Hf 0.0929 0.1958 0.6183
Hf2 Hf 0.9071 0.8042 0.3817
Hf3 Hf 0.3192 0.2700 0.0917
Hf4 Hf 0.6808 0.7300 0.9083
Cu1 Cu 0.3812 0.5687 0.6688
Cu2 Cu 0.6188 0.4313 0.3312
S1 S 0.0000 0.0000 0.0000
```

Results
The formation energy (no corrections) is -481 meV per atom. The calculation puts the theoretical density at 11.3 g/cm3. Its volume is 128.0 Å³ per cell.


Material: Nb6C2N3
Method: DFT, PBE
State: optimized geometry

Geometry as CIF:
```
data_Nb6C2N3
_chemical_formula_sum 'Nb6 C2 N3'
_cell_length_a 5.4633
_cell_length_b 5.2778
_cell_length_c 5.2778
_cell_angle_alpha 120.00
_cell_angle_beta 90.00
_cell_angle_gamma 90.00
_symmetry_space_group_name_H-M 'P 1'
_symmetry_Int_Tables_number 1
_symmetry_space_group_name_Hall 'P 1'
loop_
_atom_site_label
_atom_site_type_symbol
_atom_site_fract_x
_atom_site_fract_y
_atom_site_fract_z
Nb1 Nb 0.7474 0.3395 0.3395
Nb2 Nb 0.7474 0.0000 0.6605
Nb3 Nb 0.7474 0.6605 0.0000
Nb4 Nb 0.2526 0.6605 0.6605
Nb5 Nb 0.2526 0.0000 0.3395
Nb6 Nb 0.2526 0.3395 0.0000
C1 C 0.5000 0.3333 0.6667
C2 C 0.5000 0.6667 0.3333
N1 N 0.0000 0.6667 0.3333
N2 N 0.0000 0.3333 0.6667
N3 N 0.5000 0.0000 0.0000
```

Results
The formation energy (no corrections) is -748 meV per atom. The calculation puts the theoretical density at 7.9 g/cm3. Its volume is 131.8 Å³ per cell.


Material: Ba2Cd12Ag3Ge
Method: DFT, PBE
State: optimized geometry

Geometry as CIF:
```
data_Ba2Cd12Ag3Ge
_chemical_formula_sum 'Ba2 Cd12 Ag3 Ge1'
_cell_length_a 15.2508
_cell_length_b 15.2508
_cell_length_c 15.2508
_cell_angle_alpha 22.90
_cell_angle_beta 22.90
_cell_angle_gamma 22.90
_symmetry_space_group_name_H-M 'P 1'
_symmetry_Int_Tables_number 1
_symmetry_space_group_name_Hall 'P 1'
loop_
_atom_site_label
_atom_site_type_symbol
_atom_site_fract_x
_atom_site_fract_y
_atom_site_fract_z
Ba1 Ba 0.6505 0.6505 0.6505
Ba2 Ba 0.3495 0.3495 0.3495
Cd1 Cd 0.3901 0.3901 0.8730
Cd2 Cd 0.8938 0.8938 0.3912
Cd3 Cd 0.3912 0.8938 0.8938
Cd4 Cd 0.8730 0.3901 0.3901
Cd5 Cd 0.8938 0.3912 0.8938
Cd6 Cd 0.3901 0.8730 0.3901
Cd7 Cd 0.6099 0.6099 0.1270
Cd8 Cd 0.1062 0.1062 0.6088
Cd9 Cd 0.6088 0.1062 0.1062
Cd10 Cd 0.1270 0.6099 0.6099
Cd11 Cd 0.1062 0.6088 0.1062
Cd12 Cd 0.6099 0.1270 0.6099
Ag1 Ag 0.5000 0.0000 0.0000
Ag2 Ag 0.0000 0.5000 0.0000
Ag3 Ag 0.0000 0.0000 0.5000
Ge1 Ge 0.0000 0.0000 0.0000
```

Results
The calculation puts the theoretical density at 7.1 g/cm3. The energy relative to the elements is -0.036 eV per atom. Its volume is 471.3 Å³ per cell.


Material: Mn3PbI
Method: DFT, PBE
State: optimized geometry

Geometry as CIF:
```
data_Mn3PbI
_chemical_formula_sum 'Mn3 Pb1 I1'
_cell_length_a 5.3532
_cell_length_b 5.3532
_cell_length_c 5.3532
_cell_angle_alpha 90.00
_cell_angle_beta 90.00
_cell_angle_gamma 90.00
_symmetry_space_group_name_H-M 'P 1'
_symmetry_Int_Tables_number 1
_symmetry_space_group_name_Hall 'P 1'
loop_
_atom_site_label
_atom_site_type_symbol
_atom_site_fract_x
_atom_site_fract_y
_atom_site_fract_z
Pb1 Pb 0.0000 0.0000 0.0000
I1 I 0.5000 0.5000 0.5000
Mn1 Mn 0.0000 0.5000 0.0000
Mn2 Mn 0.0000 0.0000 0.5000
Mn3 Mn 0.5000 0.0000 0.0000
```

Results
The formation energy (no corrections) is 989 meV per atom. The calculation puts the theoretical density at 5.4 g/cm3. The value obtained for the relative energy among the computed polymorphs is 0.00 eV/f.u. Its volume is 153.4 Å³ per cell.


Material: Ba2SnHgH
Method: DFT, PBE
State: optimized geometry

Geometry as CIF:
```
data_Ba2SnHgH
_chemical_formula_sum 'Ba2 Sn1 Hg1 H1'
_cell_length_a 5.8346
_cell_length_b 5.8346
_cell_length_c 4.4772
_cell_angle_alpha 90.00
_cell_angle_beta 90.00
_cell_angle_gamma 90.00
_symmetry_space_group_name_H-M 'P 1'
_symmetry_Int_Tables_number 1
_symmetry_space_group_name_Hall 'P 1'
loop_
_atom_site_label
_atom_site_type_symbol
_atom_site_fract_x
_atom_site_fract_y
_atom_site_fract_z
H1 H 0.0000 0.0000 0.0000
Hg1 Hg 0.5000 0.5000 0.5000
Sn1 Sn 0.0000 0.0000 0.5000
Ba1 Ba 0.0000 0.5000 0.0000
Ba2 Ba 0.5000 0.0000 0.0000
```

Results
The calculation puts the theoretical density at 6.5 g/cm3. Its total energy is -2.74 eV per atom. Its volume is 152.4 Å³ per cell.


Material: TcP2O2
Method: DFT, PBE
State: optimized geometry

Geometry as CIF:
```
data_TcP2O2
_chemical_formula_sum 'Tc1 P2 O2'
_cell_length_a 4.6297
_cell_length_b 4.6297
_cell_length_c 3.6790
_cell_angle_alpha 90.00
_cell_angle_beta 90.00
_cell_angle_gamma 90.00
_symmetry_space_group_name_H-M 'P 1'
_symmetry_Int_Tables_number 1
_symmetry_space_group_name_Hall 'P 1'
loop_
_atom_site_label
_atom_site_type_symbol
_atom_site_fract_x
_atom_site_fract_y
_atom_site_fract_z
P1 P 0.0000 0.5000 0.0000
P2 P 0.5000 0.0000 0.0000
Tc1 Tc 0.0000 0.0000 0.0000
O1 O 0.5000 0.5000 0.5000
O2 O 0.0000 0.0000 0.5000
```

Results
The formation energy (no corrections) is 293 meV per atom. The calculation puts the theoretical density at 4.0 g/cm3. The value obtained for the relative energy among the computed polymorphs is 3.32 eV/f.u. Its volume is 78.9 Å³ per cell.